*w*
# TaHRu3 (PBE, relaxed)
# - Volume: 12.31 Å³ per atom
data_TaHRu3
_space_group_name_H-M_alt 'C 1 m 1'
_space_group_IT_number 8
_space_group_name_Hall 'C -2y'
_cell_length_a 8.9818
_cell_length_b 5.6412
_cell_length_c 4.8583
_cell_angle_alpha 90.00
_cell_angle_beta 90.46
_cell_angle_gamma 90.00
loop_
_atom_site_label
_atom_site_fract_x
_atom_site_fract_y
_atom_site_fract_z
Ta1 0.0000 0.0000 0.0000
Ta2 0.2354 0.5000 0.3482
H1 0.1101 0.0000 0.6265
H2 0.3787 0.0000 0.6654
Ru1 0.2476 0.0000 0.3232
Ru2 0.2479 0.2516 0.8503
Ru3 0.4928 0.2477 0.4870
Ru4 0.4963 0.0000 0.0078


*x*
# TaHRu3 (PBE, relaxed)
# - Volume: 21.72 Å³ per atom
data_TaHRu3
_space_group_name_H-M_alt 'P m -3 m'
_space_group_IT_number 221
_space_group_name_Hall '-P 4 2 3'
_cell_length_a 4.7707
_cell_length_b 4.7707
_cell_length_c 4.7707
_cell_angle_alpha 90.00
_cell_angle_beta 90.00
_cell_angle_gamma 90.00
loop_
_atom_site_label
_atom_site_fract_x
_atom_site_fract_y
_atom_site_fract_z
Ta1 0.0000 0.0000 0.0000
H1 0.5000 0.5000 0.5000
Ru1 0.0000 0.0000 0.5000


Bottom line: *w*, by a margin of 2.345 eV/atom.


*w*
# TaHRu3 (PBE, relaxed)
# - Volume: 12.62 Å³ per atom
data_TaHRu3
_space_group_name_H-M_alt 'P 1 21/c 1'
_space_group_IT_number 14
_space_group_name_Hall '-P 2ybc'
_cell_length_a 8.0333
_cell_length_b 3.9359
_cell_length_c 8.8871
_cell_angle_alpha 90.00
_cell_angle_beta 116.08
_cell_angle_gamma 90.00
loop_
_atom_site_label
_atom_site_fract_x
_atom_site_fract_y
_atom_site_fract_z
Ta1 0.1949 0.0122 0.1338
H1 0.2481 0.7102 0.9825
Ru1 0.0406 0.0253 0.3615
Ru2 0.3191 0.0185 0.8708
Ru3 0.4548 0.0165 0.6285


*x*
# TaHRu3 (PBE, relaxed)
# - Volume: 13.10 Å³ per atom
data_TaHRu3
_space_group_name_H-M_alt 'C 1 2/c 1'
_space_group_IT_number 15
_space_group_name_Hall '-C 2yc'
_cell_length_a 11.4231
_cell_length_b 8.4823
_cell_length_c 5.5889
_cell_angle_alpha 90.00
_cell_angle_beta 104.70
_cell_angle_gamma 90.00
loop_
_atom_site_label
_atom_site_fract_x
_atom_site_fract_y
_atom_site_fract_z
Ta1 0.0000 0.0657 0.2500
Ta2 0.0000 0.2924 0.7500
H1 0.0828 0.3116 0.1404
Ru1 0.1359 0.4946 0.5696
Ru2 0.1807 0.1512 0.0836
Ru3 0.1896 0.1530 0.5974


Bottom line: *w*, by a margin of 0.116 eV/atom.


*w*
# TaHRu3 (PBE, relaxed)
# - Volume: 12.26 Å³ per atom
data_TaHRu3
_space_group_name_H-M_alt 'C 1 2 1'
_space_group_IT_number 5
_space_group_name_Hall 'C 2y'
_cell_length_a 8.9678
_cell_length_b 5.6789
_cell_length_c 6.5435
_cell_angle_alpha 90.00
_cell_angle_beta 132.61
_cell_angle_gamma 90.00
loop_
_atom_site_label
_atom_site_fract_x
_atom_site_fract_y
_atom_site_fract_z
Ta1 0.2312 0.0000 0.1881
H1 0.0000 0.2616 0.0000
H2 0.0000 0.9950 0.5000
Ru1 0.0385 0.2536 0.3241
Ru2 0.0375 0.7559 0.3190
Ru3 0.2058 0.5095 0.1662


*x*
# TaHRu3 (PBE, relaxed)
# - Volume: 12.31 Å³ per atom
data_TaHRu3
_space_group_name_H-M_alt 'P 1'
_space_group_IT_number 1
_space_group_name_Hall 'P 1'
_cell_length_a 5.2817
_cell_length_b 5.3368
_cell_length_c 5.5598
_cell_angle_alpha 105.19
_cell_angle_beta 105.36
_cell_angle_gamma 115.47
loop_
_atom_site_label
_atom_site_fract_x
_atom_site_fract_y
_atom_site_fract_z
Ta1 0.0000 0.0000 0.0000
Ta2 0.4874 0.9518 0.3716
H1 0.0079 0.7092 0.6667
H2 0.2519 0.4755 0.1771
Ru1 0.0364 0.0092 0.4998
Ru2 0.4548 0.9412 0.8608
Ru3 0.5295 0.5034 0.5051
Ru4 0.5362 0.5060 0.0082
Ru5 0.9460 0.4303 0.3401
Ru6 0.9512 0.4366 0.8523


Bottom line: *w*, by a margin of 0.026 eV/atom.


*w*
# TaHRu3 (PBE, relaxed)
# - Volume: 13.16 Å³ per atom
data_TaHRu3
_space_group_name_H-M_alt 'P n m a'
_space_group_IT_number 62
_space_group_name_Hall '-P 2ac 2n'
_cell_length_a 5.0892
_cell_length_b 7.0466
_cell_length_c 7.3416
_cell_angle_alpha 90.00
_cell_angle_beta 90.00
_cell_angle_gamma 90.00
loop_
_atom_site_label
_atom_site_fract_x
_atom_site_fract_y
_atom_site_fract_z
Ta1 0.0000 0.0000 0.0000
H1 0.2424 0.2500 0.4397
Ru1 0.0367 0.5811 0.3464
Ru2 0.2063 0.7500 0.7034


*x*
# TaHRu3 (PBE, relaxed)
# - Volume: 16.47 Å³ per atom
data_TaHRu3
_space_group_name_H-M_alt 'C m c m'
_space_group_IT_number 63
_space_group_name_Hall '-C 2c 2'
_cell_length_a 5.3013
_cell_length_b 13.2692
_cell_length_c 4.6833
_cell_angle_alpha 90.00
_cell_angle_beta 90.00
_cell_angle_gamma 90.00
loop_
_atom_site_label
_atom_site_fract_x
_atom_site_fract_y
_atom_site_fract_z
Ta1 0.0000 0.1813 0.2500
H1 0.0000 0.4423 0.2500
Ru1 0.0000 0.0000 0.0000
Ru2 0.2412 0.3498 0.2500


*y*
# TaHRu3 (PBE, relaxed)
# - Volume: 12.43 Å³ per atom
data_TaHRu3
_space_group_name_H-M_alt 'C 1 2/m 1'
_space_group_IT_number 12
_space_group_name_Hall '-C 2y'
_cell_length_a 8.9592
_cell_length_b 3.8960
_cell_length_c 7.9565
_cell_angle_alpha 90.00
_cell_angle_beta 116.49
_cell_angle_gamma 90.00
loop_
_atom_site_label
_atom_site_fract_x
_atom_site_fract_y
_atom_site_fract_z
Ta1 0.1162 0.0000 0.4223
H1 0.1026 0.5000 0.9304
Ru1 0.1258 0.5000 0.6943
Ru2 0.1304 0.0000 0.9400
Ru3 0.1362 0.5000 0.1982


*z*
# TaHRu3 (PBE, relaxed)
# - Volume: 13.47 Å³ per atom
data_TaHRu3
_space_group_name_H-M_alt 'R -3'
_space_group_IT_number 148
_space_group_name_Hall '-R 3'
_cell_length_a 4.8718
_cell_length_b 4.8718
_cell_length_c 19.6662
_cell_angle_alpha 90.00
_cell_angle_beta 90.00
_cell_angle_gamma 120.00
loop_
_atom_site_label
_atom_site_fract_x
_atom_site_fract_y
_atom_site_fract_z
Ta1 0.0000 0.0000 0.1666
H1 0.0000 0.0000 0.3329
Ru1 0.0031 0.3295 0.9407


Bottom line: *y*, by a margin of 0.239 eV/atom.


*w*
# TaHRu3 (PBE, relaxed)
# - Volume: 12.50 Å³ per atom
data_TaHRu3
_space_group_name_H-M_alt 'P 1 21/c 1'
_space_group_IT_number 14
_space_group_name_Hall '-P 2ybc'
_cell_length_a 7.0365
_cell_length_b 4.7825
_cell_length_c 9.6845
_cell_angle_alpha 90.00
_cell_angle_beta 129.93
_cell_angle_gamma 90.00
loop_
_atom_site_label
_atom_site_fract_x
_atom_site_fract_y
_atom_site_fract_z
Ta1 0.2137 0.1905 0.0493
H1 0.2672 0.5358 0.3869
Ru1 0.0557 0.6398 0.8414
Ru2 0.2757 0.7152 0.2073
Ru3 0.4511 0.2197 0.4058


*x*
# TaHRu3 (PBE, relaxed)
# - Volume: 19.02 Å³ per atom
data_TaHRu3
_space_group_name_H-M_alt 'I -4 m 2'
_space_group_IT_number 119
_space_group_name_Hall 'I -4 -2'
_cell_length_a 4.5557
_cell_length_b 4.5557
_cell_length_c 18.3305
_cell_angle_alpha 90.00
_cell_angle_beta 90.00
_cell_angle_gamma 90.00
loop_
_atom_site_label
_atom_site_fract_x
_atom_site_fract_y
_atom_site_fract_z
Ta1 0.0000 0.0000 0.0000
Ta2 0.0000 0.5000 0.2500
H1 0.0000 0.5000 0.6416
Ru1 0.0000 0.0000 0.3409
Ru2 0.0000 0.2436 0.1218


Bottom line: *w*, by a margin of 1.363 eV/atom.


*w*
# TaHRu3 (PBE, relaxed)
# - Volume: 12.97 Å³ per atom
data_TaHRu3
_space_group_name_H-M_alt 'P 63/m m c'
_space_group_IT_number 194
_space_group_name_Hall '-P 6c 2c'
_cell_length_a 2.9711
_cell_length_b 2.9711
_cell_length_c 16.9621
_cell_angle_alpha 90.00
_cell_angle_beta 90.00
_cell_angle_gamma 120.00
loop_
_atom_site_label
_atom_site_fract_x
_atom_site_fract_y
_atom_site_fract_z
Ta1 0.0000 0.0000 0.0000
H1 0.3333 0.6667 0.2500
Ru1 0.0000 0.0000 0.2500
Ru2 0.3333 0.6667 0.1205


*x*
# TaHRu3 (PBE, relaxed)
# - Volume: 13.10 Å³ per atom
data_TaHRu3
_space_group_name_H-M_alt 'P 63/m m c'
_space_group_IT_number 194
_space_group_name_Hall '-P 6c 2c'
_cell_length_a 4.3857
_cell_length_b 4.3857
_cell_length_c 7.8622
_cell_angle_alpha 90.00
_cell_angle_beta 90.00
_cell_angle_gamma 120.00
loop_
_atom_site_label
_atom_site_fract_x
_atom_site_fract_y
_atom_site_fract_z
Ta1 0.3333 0.6667 0.2500
H1 0.0000 0.0000 0.0000
Ru1 0.0000 0.0000 0.2500
Ru2 0.3333 0.6667 0.5792


Bottom line: *w*, by a margin of 0.183 eV/atom.